[1]
The following is a GGA-PBE calculation of a relaxed Pr5Pb2O crystal, from Alexandria via LeMat-Bulk. Values from VASP.

```
&SYSTEM
  ibrav = 0, nat = 8, ntyp = 3
/
ATOMIC_SPECIES
Pr 140.91 Pr.upf
Pb 207.20 Pb.upf
O 16.00 O.upf
ATOMIC_POSITIONS angstrom
Pr 0.000 0.000 0.000
Pr 1.886 1.886 2.301
Pr 1.734 -1.734 7.055
Pr -1.734 1.734 7.055
Pr 1.734 1.734 7.055
Pb 3.620 0.000 4.689
Pb 0.000 3.620 4.689
O 0.000 0.000 6.968
CELL_PARAMETERS angstrom
-3.620 3.620 4.754
3.620 -3.620 4.754
3.620 3.620 -4.754
```

Properties
Crystal system: tetragonal
Energy relative to the elements, uncorrected in eV/f.u.: -6.6



[2]
The following is a GGA-PBE calculation of a relaxed Pr6PbO12 crystal, from Alexandria via LeMat-Bulk. Values from VASP.

```
&SYSTEM
  ibrav = 0, nat = 19, ntyp = 3
/
ATOMIC_SPECIES
Pr 140.91 Pr.upf
Pb 207.20 Pb.upf
O 16.00 O.upf
ATOMIC_POSITIONS angstrom
Pr -2.780 -2.557 5.068
Pr -3.604 1.129 4.786
Pr 0.825 -3.686 4.786
Pr -0.825 3.686 5.068
Pr 3.604 -1.129 5.068
Pr 2.780 2.557 4.786
Pb 0.000 0.000 4.927
O -1.381 -4.379 4.255
O -4.483 -0.993 5.599
O -1.922 -0.396 3.876
O -3.101 3.386 4.255
O 1.304 -1.467 3.876
O -0.619 -1.863 5.977
O 0.619 1.863 3.876
O -1.304 1.467 5.977
O 3.101 -3.386 5.599
O 1.922 0.396 5.977
O 4.483 0.993 4.255
O 1.381 4.379 5.599
CELL_PARAMETERS angstrom
5.241 3.026 3.285
-5.241 3.026 3.285
0.000 -6.052 3.285
```

Properties
Crystal system: trigonal
Energy relative to the elements, uncorrected in eV/f.u.: -51.9



[3]
The following is a GGA-PBE calculation of a relaxed PrPbO2 crystal, from Alexandria via LeMat-Bulk. Values from VASP.

```
&SYSTEM
  ibrav = 0, nat = 4, ntyp = 3
/
ATOMIC_SPECIES
Pr 140.91 Pr.upf
Pb 207.20 Pb.upf
O 16.00 O.upf
ATOMIC_POSITIONS angstrom
Pr 0.000 0.000 0.000
Pb 0.000 0.000 10.722
O 0.000 0.000 2.234
O 0.000 0.000 19.210
CELL_PARAMETERS angstrom
1.922 1.110 7.148
-1.922 1.110 7.148
0.000 -2.219 7.148
```

Properties
Crystal system: trigonal
Energy relative to the elements, uncorrected in eV/f.u.: -5.0



[4]
The following is a GGA-PBE calculation of a relaxed Pr6Pb2O crystal, from Alexandria via LeMat-Bulk. Values from VASP.

```
&SYSTEM
  ibrav = 0, nat = 18, ntyp = 3
/
ATOMIC_SPECIES
Pr 140.91 Pr.upf
Pb 207.20 Pb.upf
O 16.00 O.upf
ATOMIC_POSITIONS angstrom
Pr -2.094 1.332 4.627
Pr -5.237 2.839 9.658
Pr -0.709 6.050 4.549
Pr -3.852 6.463 9.580
Pr 0.860 0.259 2.484
Pr -2.283 3.911 7.515
Pr 2.673 4.430 2.547
Pr -0.470 8.082 7.578
Pr 4.243 1.879 0.482
Pr 1.100 2.292 5.513
Pr 5.628 5.503 0.404
Pr 2.485 7.010 5.435
Pb -3.577 0.859 7.700
Pb -0.434 3.312 2.669
Pb 0.825 5.030 7.393
Pb 3.968 7.483 2.362
O 0.195 0.000 5.031
O 3.338 4.171 0.000
CELL_PARAMETERS angstrom
6.677 0.000 0.000
0.000 8.342 0.000
-6.286 0.000 10.062
```

Properties
Crystal system: monoclinic
Energy relative to the elements, uncorrected in eV/f.u.: -7.4



Question: energy relative to the elements, uncorrected of number 1 (Pr5Pb2O)?
Answer: -6.6 eV/f.u.



Repeat the first record exactly.
The following is a GGA-PBE calculation of a relaxed Pr5Pb2O crystal, from Alexandria via LeMat-Bulk. Values from VASP.

```
&SYSTEM
  ibrav = 0, nat = 8, ntyp = 3
/
ATOMIC_SPECIES
Pr 140.91 Pr.upf
Pb 207.20 Pb.upf
O 16.00 O.upf
ATOMIC_POSITIONS angstrom
Pr 0.000 0.000 0.000
Pr 1.886 1.886 2.301
Pr 1.734 -1.734 7.055
Pr -1.734 1.734 7.055
Pr 1.734 1.734 7.055
Pb 3.620 0.000 4.689
Pb 0.000 3.620 4.689
O 0.000 0.000 6.968
CELL_PARAMETERS angstrom
-3.620 3.620 4.754
3.620 -3.620 4.754
3.620 3.620 -4.754
```

Properties
Crystal system: tetragonal
Energy relative to the elements, uncorrected in eV/f.u.: -6.6



Question: Among the records above, which one has the highest energy relative to the elements, uncorrected?
Answer: PrPbO2